Entry 1:
First-principles (GGA-PBE) data for a geometry-optimized GdHoW2C3 structure, as listed in OQMD via LeMat-Bulk.

Cell: 11.8682 3.3285 5.7319 Å, 90.00 112.83 90.00°
Closest atoms and distances in Å follow each position.
Space group Cm (No. 8)
Symmetry-distinct sites (fractional):
Gd 0.0000 0.0000 0.0000  5 C 2.47-2.59
Ho 0.2196 0.0000 0.6393  5 C 2.43-2.54
W 0.2646 0.5000 0.1429  4 C 2.06-2.16
W 0.4529 0.0000 0.4911  4 C 2.05-2.17
C 0.1098 0.5000 0.8136  2 W 2.05-2.06
C 0.3583 0.0000 0.0825  3 W 2.10-2.17
C 0.3576 0.5000 0.5510  3 W 2.11-2.16

Values from the calculation:
- Total magnetic moment: 0.01 μB/f.u.
- Total DFT energy (no corrections): -9.31 eV/atom



Entry 2:
First-principles (GGA-PBE) data for a geometry-optimized GdHoZr2C3 structure, as listed in OQMD via LeMat-Bulk.

Cell: 12.4747 3.5566 5.8954 Å, 90.00 112.88 90.00°
Closest atoms and distances in Å follow each position.
Space group Cm (No. 8)
Symmetry-distinct sites (fractional):
Gd 0.0000 0.0000 0.0000  5 C 2.55-2.67
Ho 0.2413 0.0000 0.5903  5 C 2.52-2.64
Zr 0.2606 0.5000 0.1293  4 C 2.25-2.32
Zr 0.4784 0.0000 0.4593  4 C 2.25-2.31
C 0.1214 0.5000 0.3005  2 Zr 2.31-2.32, 2 Ho 2.52, 2 Gd 2.55
C 0.3522 0.0000 0.0543  3 Zr 2.25-2.29
C 0.3855 0.5000 0.5326  3 Zr 2.25-2.28

Values from the calculation:
- Total magnetic moment: 0.32 μB/f.u.
- Total DFT energy (no corrections): -8.13 eV/atom



Entry 3:
First-principles (GGA-PBE) data for a geometry-optimized Gd4C2IO structure, as listed in OQMD via LeMat-Bulk.

Cell: 3.6523 3.6523 13.5732 Å, 90.00 90.00 120.00°
Closest atoms and distances in Å follow each position.
Space group P-6m2 (No. 187)
Symmetry-distinct sites (fractional):
Gd 0.0000 0.0000 0.1155  3 C 2.56, 3 O 2.63
Gd 0.6667 0.3333 0.3141  3 C 2.45
C 0.3333 0.6667 0.2223  6 Gd 2.45-2.56
I 0.0000 0.0000 0.5000  6 Gd 3.29, 6 I 3.65
O 0.6667 0.3333 0.0000  6 Gd 2.63

Values from the calculation:
- Total magnetic moment: 0.00 μB/f.u.
- Total DFT energy (no corrections): -6.57 eV/atom